# NiAg2C2O6 | Alexandria via LeMat-Bulk | PBE with a Hubbard U | optimized geometry
data_NiAg2C2O6
_space_group_name_H-M_alt 'P 1'
_space_group_IT_number 1
_space_group_name_Hall 'P 1'
_cell_length_a 5.1028
_cell_length_b 5.0366
_cell_length_c 6.5066
_cell_angle_alpha 113.97
_cell_angle_beta 90.00
_cell_angle_gamma 120.44
loop_
_atom_site_label
_atom_site_type_symbol
_atom_site_fract_x
_atom_site_fract_y
_atom_site_fract_z
O1 O 0.8009 0.0399 0.7436
O2 O 0.7735 0.5470 0.6706
C1 C 0.9320 0.8640 0.7129
Ni1 Ni 0.5000 0.0000 0.5000
O3 O 0.2390 0.0399 0.7436
O4 O 0.1991 0.9601 0.2564
C2 C 0.0680 0.1360 0.2871
Ag1 Ag 0.3119 0.6238 0.8678
Ag2 Ag 0.6881 0.3762 0.1322
O5 O 0.2265 0.4530 0.3294
O6 O 0.7610 0.9601 0.2564
# Space group: No. 12
# ρ: 5.15 g cm⁻³
# Raw total energy: -66.51 eV per cell
# Calculated volume: 11.561 Å³/atom